TbTlMo2O8 | GGA+U | optimized geometry

Cell lengths 5.154, 19.355, 8.131 Å; angles 90.00, 90.00, 90.00 degrees
Fractional positions:
Tb1 0.000 0.004 0.250
Tb2 0.000 0.996 0.750
Tb3 0.500 0.496 0.750
Tb4 0.500 0.504 0.250
Tl1 0.000 0.226 0.750
Tl2 0.000 0.774 0.250
Tl3 0.500 0.274 0.250
Tl4 0.500 0.726 0.750
Mo1 0.022 0.402 0.011
Mo2 0.022 0.598 0.511
Mo3 0.478 0.098 0.511
Mo4 0.478 0.902 0.011
Mo5 0.522 0.098 0.989
Mo6 0.522 0.902 0.489
Mo7 0.978 0.402 0.489
Mo8 0.978 0.598 0.989
O1 0.098 0.317 0.484
O2 0.098 0.683 0.984
O3 0.232 0.407 0.836
O4 0.232 0.593 0.336
O5 0.241 0.411 0.185
O6 0.241 0.589 0.685
O7 0.247 0.035 0.004
O8 0.247 0.965 0.504
O9 0.253 0.465 0.504
O10 0.253 0.535 0.004
O11 0.259 0.089 0.685
O12 0.259 0.911 0.185
O13 0.268 0.093 0.336
O14 0.268 0.907 0.836
O15 0.402 0.183 0.984
O16 0.402 0.817 0.484
O17 0.598 0.183 0.516
O18 0.598 0.817 0.016
O19 0.732 0.093 0.164
O20 0.732 0.907 0.664
O21 0.741 0.089 0.815
O22 0.741 0.911 0.315
O23 0.747 0.465 0.996
O24 0.747 0.535 0.496
O25 0.753 0.035 0.496
O26 0.753 0.965 0.996
O27 0.759 0.411 0.315
O28 0.759 0.589 0.815
O29 0.768 0.407 0.664
O30 0.768 0.593 0.164
O31 0.902 0.317 0.016
O32 0.902 0.683 0.516

Calculated values
**Space-group type**: Pbcn
**Energy**: -7.078 eV per atom
**Calculated volume**: 202.8 Å³/f.u.
**Total magnetization**: 0.0 μB per formula unit